{
  "formula": "Ho2HfZr",
  "functional": "PBE",
  "state": "optimized geometry",
  "cell": [[-0.379, 0.827, 3.188], [2.514, -0.395, 2.125], [4.177, 10.277, -0.447]],
  "species": ["Ho", "Zr", "Hf", "Ho"],
  "frac_coords": [[0.749, 0.749, 0.753], [0.500, 0.500, 0.500], [0.000, 0.000, 0.000], [0.251, 0.251, 0.247]],
  "vol_a3_per_cell": 104.1,
  "total_magnetization_mub_per_fu": 0.0,
  "formation_enthalpy_0k_ev_per_atom": 0.146,
  "polymorph_energy_ev_per_atom": 0.011,
  "energy_ev_per_cell": -27.07
}


{
  "formula": "HfI",
  "functional": "PBE",
  "state": "optimized geometry",
  "cell": [[-2.043, -2.453, 1.471], [1.771, -2.552, -1.796], [6.663, -0.861, 7.817]],
  "species": ["Hf", "Hf", "I", "I"],
  "frac_coords": [[0.250, 0.250, 0.406], [0.750, 0.750, 0.594], [0.750, 0.248, 0.184], [0.250, 0.752, 0.816]],
  "vol_a3_per_cell": 130.0,
  "total_magnetization_mub_per_fu": 0.0,
  "raw_formation_energy_ev_per_atom": -0.24,
  "energy_ev_per_cell": -23.99
}


{
  "formula": "HfI",
  "functional": "PBE",
  "state": "optimized geometry",
  "cell": [[9.033, 0.000, 0.000], [0.000, 9.033, 0.000], [0.000, 0.000, 9.033]],
  "species": ["I", "I", "I", "Hf", "I", "Hf", "Hf", "Hf", "Hf", "Hf", "I", "Hf", "I", "I", "Hf", "I"],
  "frac_coords": [[0.304, 0.696, 0.304], [0.196, 0.804, 0.804], [0.696, 0.304, 0.304], [0.612, 0.388, 0.612], [0.804, 0.804, 0.196], [0.888, 0.888, 0.888], [0.388, 0.612, 0.612], [0.388, 0.388, 0.388], [0.112, 0.888, 0.112], [0.888, 0.112, 0.112], [0.804, 0.196, 0.804], [0.612, 0.612, 0.388], [0.696, 0.696, 0.696], [0.196, 0.196, 0.196], [0.112, 0.112, 0.888], [0.304, 0.304, 0.696]],
  "vol_a3_per_cell": 737.0,
  "total_magnetization_mub_per_fu": 0.0,
  "raw_formation_energy_ev_per_atom": 0.38,
  "energy_ev_per_cell": -85.89
}


{
  "formula": "HfI3",
  "functional": "PBE",
  "state": "optimized geometry",
  "cell": [[7.989, 0.000, 0.000], [-3.994, 6.918, 0.000], [0.000, 0.000, 6.499]],
  "species": ["I", "I", "I", "I", "Hf", "Hf", "I", "I"],
  "frac_coords": [[0.000, 0.699, 0.750], [0.000, 0.301, 0.250], [0.699, 0.699, 0.250], [0.301, 0.000, 0.250], [0.000, 0.000, 0.500], [0.000, 0.000, 0.000], [0.301, 0.301, 0.750], [0.699, 0.000, 0.750]],
  "vol_a3_per_cell": 359.2,
  "total_magnetization_mub_per_fu": 0.0,
  "raw_formation_energy_ev_per_atom": -0.86,
  "energy_ev_per_cell": -36.12
}


{
  "formula": "HfI",
  "functional": "PBE",
  "state": "optimized geometry",
  "cell": [[11.568, 0.000, 0.000], [0.000, 11.568, 0.000], [0.000, 0.000, 3.815]],
  "species": ["I", "I", "I", "I", "Hf", "Hf", "Hf", "I", "Hf", "I", "Hf", "I", "Hf", "Hf", "I", "Hf"],
  "frac_coords": [[0.101, 0.789, 0.000], [0.606, 0.287, 0.500], [0.713, 0.606, 0.500], [0.211, 0.101, 0.000], [0.409, 0.115, 0.500], [0.395, 0.917, 0.000], [0.083, 0.395, 0.000], [0.287, 0.394, 0.500], [0.591, 0.885, 0.500], [0.899, 0.211, 0.000], [0.917, 0.605, 0.000], [0.789, 0.899, 0.000], [0.885, 0.409, 0.500], [0.115, 0.591, 0.500], [0.394, 0.713, 0.500], [0.605, 0.083, 0.000]],
  "vol_a3_per_cell": 510.5,
  "total_magnetization_mub_per_fu": 0.0,
  "raw_formation_energy_ev_per_atom": -0.24,
  "energy_ev_per_cell": -95.89
}


{
  "formula": "Hf3I",
  "functional": "PBE",
  "state": "optimized geometry",
  "cell": [[-6.030, 1.494, -0.514], [2.279, -1.920, 5.475], [1.137, 5.031, 1.291]],
  "species": ["I", "Hf", "Hf", "I", "Hf", "Hf", "Hf", "Hf"],
  "frac_coords": [[0.667, 0.333, 0.250], [0.839, 0.161, 0.750], [0.161, 0.839, 0.250], [0.333, 0.667, 0.750], [0.323, 0.161, 0.750], [0.161, 0.323, 0.250], [0.677, 0.839, 0.250], [0.839, 0.677, 0.750]],
  "vol_a3_per_cell": 178.9,
  "total_magnetization_mub_per_fu": 0.0,
  "raw_formation_energy_ev_per_atom": 0.36,
  "energy_ev_per_cell": -59.91
}


{
  "formula": "HfI",
  "functional": "PBE",
  "state": "optimized geometry",
  "cell": [[-7.310, -2.027, -2.395], [2.885, -1.955, -7.151], [1.233, -7.440, 2.532]],
  "species": ["Hf", "I", "Hf", "I", "I", "Hf", "I", "Hf", "Hf", "I", "I", "Hf"],
  "frac_coords": [[0.500, 0.250, 0.000], [0.000, 0.750, 0.500], [0.250, 0.000, 0.500], [0.000, 0.250, 0.500], [0.500, 0.000, 0.750], [0.000, 0.500, 0.250], [0.250, 0.500, 0.000], [0.750, 0.000, 0.500], [0.000, 0.500, 0.750], [0.500, 0.000, 0.250], [0.750, 0.500, 0.000], [0.500, 0.750, 0.000]],
  "vol_a3_per_cell": 503.4,
  "total_magnetization_mub_per_fu": 1.3,
  "raw_formation_energy_ev_per_atom": 1.12,
  "energy_ev_per_cell": -55.63
}


{
  "formula": "HfI3",
  "functional": "PBE",
  "state": "optimized geometry",
  "cell": [[3.709, 0.000, 0.000], [0.000, 7.688, 0.000], [-1.855, -3.844, 6.339]],
  "species": ["Hf", "I", "I", "I"],
  "frac_coords": [[0.000, 0.042, 0.000], [0.652, 0.049, 0.303], [0.500, 0.330, 0.000], [0.348, 0.746, 0.697]],
  "vol_a3_per_cell": 180.8,
  "total_magnetization_mub_per_fu": 0.4,
  "raw_formation_energy_ev_per_atom": -0.73,
  "energy_ev_per_cell": -17.54
}